Arrangement a

Computed, not measured: crystalline UAsN at its relaxed geometry at the GGA-PBE level of DFT.

Lattice parameters (Å, degrees): 3.076 3.076 6.096 104.61 104.61 90.00
Fractional positions:
U: 0.722 0.722 0.444
N: 0.278 0.278 0.556
As: 0.000 0.000 0.000

Computed properties:
Density of states at the Fermi level, states/eV per atom: 1.21
SG: No. 107
Total magnetization, μB per cell: 1.53



Arrangement b

Computed, not measured: crystalline UAsN at its relaxed geometry at the GGA-PBE level of DFT.

Lattice parameters (Å, degrees): 4.147 3.764 3.764 120.00 90.00 90.00
Fractional positions:
N: 0.167 0.000 0.000
U: 0.167 0.667 0.333
As: 0.667 0.333 0.667

Computed properties:
Density of states at the Fermi level, states/eV per atom: 0.38
SG: No. 187
Total magnetization, μB per cell: 0.00



Relative energy table, unit eV/atom: arrangement a 0.381; arrangement b 0.000



Arrangement a

Computed, not measured: crystalline V2AsN at its relaxed geometry at the GGA-PBE level of DFT.

Lattice parameters (Å, degrees): 5.244 5.244 5.851 63.37 63.37 90.00
Fractional positions:
As: 0.000 0.000 0.000
As: 0.750 0.250 0.500
V: 0.375 0.463 0.750
V: 0.875 0.787 0.750
V: 0.213 0.625 0.250
V: 0.537 0.125 0.250
N: 0.250 0.750 0.500
N: 0.500 0.500 0.000

Computed properties:
Density of states at the Fermi level, states/eV per atom: 1.48
SG: No. 122
Total magnetization, μB per cell: 6.32



Arrangement b

Computed, not measured: crystalline V2AsN at its relaxed geometry at the GGA-PBE level of DFT.

Lattice parameters (Å, degrees): 3.054 3.054 6.186 75.71 75.71 60.00
Fractional positions:
V: 0.777 0.777 0.668
V: 0.223 0.223 0.332
As: 0.000 0.000 0.000
N: 0.500 0.500 0.500

Computed properties:
Density of states at the Fermi level, states/eV per atom: 0.89
SG: No. 166
Total magnetization, μB per cell: 0.00



Arrangement c

Computed, not measured: crystalline V2AsN at its relaxed geometry at the GGA-PBE level of DFT.

Lattice parameters (Å, degrees): 4.058 4.058 4.058 60.00 60.00 60.00
Fractional positions:
V: 0.250 0.250 0.250
V: 0.750 0.750 0.750
As: 0.500 0.500 0.500
N: 0.000 0.000 0.000

Computed properties:
Density of states at the Fermi level, states/eV per atom: 0.25
SG: No. 225
Total magnetization, μB per cell: 0.00



Relative energy table, unit eV/atom: arrangement a 0.363; arrangement b 0.000; arrangement c 0.897



Arrangement a

Computed, not measured: crystalline As3WN at its relaxed geometry at the GGA-PBE level of DFT.

Lattice parameters (Å, degrees): 4.891 4.891 4.891 90.00 90.00 90.00
Fractional positions:
As: 0.000 0.500 0.000
As: 0.000 0.000 0.500
As: 0.500 0.000 0.000
N: 0.500 0.500 0.500
W: 0.000 0.000 0.000

Computed properties:
Density of states at the Fermi level, states/eV per atom: 0.79
SG: No. 221
Total magnetization, μB per cell: 2.18



Arrangement b

Computed, not measured: crystalline As3WN at its relaxed geometry at the GGA-PBE level of DFT.

Lattice parameters (Å, degrees): 4.238 4.238 4.238 90.00 90.00 90.00
Fractional positions:
As: 0.500 0.000 0.000
As: 0.000 0.500 0.000
As: 0.000 0.000 0.500
N: 0.000 0.000 0.000
W: 0.500 0.500 0.500

Computed properties:
Density of states at the Fermi level, states/eV per atom: 0.58
SG: No. 221
Total magnetization, μB per cell: 1.14



Relative energy table, unit eV/atom: arrangement a 0.402; arrangement b 0.000



Arrangement a

Computed, not measured: crystalline AsW2N at its relaxed geometry at the GGA-PBE level of DFT.

Lattice parameters (Å, degrees): 4.702 4.702 6.907 70.10 70.10 90.00
Fractional positions:
W: 0.522 0.125 0.250
W: 0.228 0.625 0.250
W: 0.875 0.772 0.750
W: 0.375 0.478 0.750
As: 0.000 0.000 0.000
As: 0.750 0.250 0.500
N: 0.250 0.750 0.500
N: 0.500 0.500 0.000

Computed properties:
Density of states at the Fermi level, states/eV per atom: 0.75
SG: No. 122
Total magnetization, μB per cell: 0.00



Arrangement b

Computed, not measured: crystalline AsW2N at its relaxed geometry at the GGA-PBE level of DFT.

Lattice parameters (Å, degrees): 4.210 4.210 4.210 60.00 60.00 60.00
Fractional positions:
As: 0.500 0.500 0.500
W: 0.250 0.250 0.250
W: 0.750 0.750 0.750
N: 0.000 0.000 0.000

Computed properties:
Density of states at the Fermi level, states/eV per atom: 1.57
SG: No. 225
Total magnetization, μB per cell: 0.00



Relative energy table, unit eV/atom: arrangement a 0.000; arrangement b 0.441